Entry from the Alexandria database: crystalline LaNbZn2In at its relaxed geometry (PBE).

```
LaNbZn2In
1.0
4.922 0.000 0.000
0.000 4.922 0.000
0.000 0.000 6.020
La Nb Zn In
1 1 2 1
Cartesian
0.000 0.000 0.000
2.461 2.461 0.000
0.000 2.461 3.010
2.461 0.000 3.010
0.000 0.000 3.010
```

Calculated values
- N(E_F): 5.155 states/eV/cell
- Uncorrected energy: -15.28 eV for the cell shown
- Formation energy: 5.0 eV per formula unit
- V: 146 Å³ per cell
- Total magnetic moment: 3.1 μB per cell